# 1
Here is a relaxed structure of Rb2TiReO6 from Alexandria via LeMat-Bulk. Energies are from PBE.

Properties
The total magnetization comes out at 0.0 μB/cell. The value obtained for the density of states at the Fermi level is 0.326 states/eV per atom. The formation energy from raw total energies comes out at -20.2 eV per formula unit.

Cell lengths 5.6440, 5.6440, 5.6440 Å; angles 119.92, 119.92, 90.13 degrees
Closest atoms and distances in Å follow each position.
Atoms (fractional coordinates):
Rb 0.2500 0.7500 0.5000  12 O 2.82-2.83
Rb 0.7500 0.2500 0.5000  12 O 2.82-2.83
Ti 0.0000 0.0000 0.0000  6 O 2.03-2.05
Re 0.5000 0.5000 0.0000  6 O 1.94-1.95
O 0.2552 0.2552 0.0000  1 Re 1.95, 1 Ti 2.03
O 0.2566 0.2566 0.5133  1 Re 1.94, 1 Ti 2.05
O 0.2566 0.7434 0.0000  1 Re 1.94, 1 Ti 2.05
O 0.7434 0.2566 0.0000  1 Re 1.94, 1 Ti 2.05
O 0.7434 0.7434 0.4867  1 Re 1.94, 1 Ti 2.05
O 0.7448 0.7448 0.0000  1 Re 1.95, 1 Ti 2.03

***

# 2
Here is a relaxed structure of RbTl2ReO4 from Alexandria via LeMat-Bulk. Energies are from PBE.

Properties
The total magnetization comes out at 0.0 μB/cell. The formation energy from raw total energies comes out at -9.6 eV per formula unit.

Cell lengths 6.1310, 6.1310, 6.1310 Å; angles 116.17, 116.17, 96.76 degrees
Closest atoms and distances in Å follow each position.
Atoms (fractional coordinates):
Rb 0.0000 0.0000 0.0000  4 O 2.87
Tl 0.2500 0.7500 0.5000  4 O 2.84
Tl 0.5000 0.5000 0.0000  4 O 2.77
Re 0.7500 0.2500 0.5000  4 O 1.84
O 0.0082 0.4951 0.8882  1 Re 1.84
O 0.5049 0.3931 0.5131  1 Re 1.84
O 0.6069 0.1200 0.1118  1 Re 1.84
O 0.8800 0.9918 0.4869  1 Re 1.84

***

# 3
Here is a relaxed structure of Rb2TlReO6 from Alexandria via LeMat-Bulk. Energies are from PBE.

Properties
The total magnetization comes out at 0.0 μB/cell. The formation energy from raw total energies comes out at -13.8 eV per formula unit.

Cell lengths 5.9565, 5.9565, 5.9565 Å; angles 60.00, 60.00, 60.00 degrees
Closest atoms and distances in Å follow each position.
Atoms (fractional coordinates):
Rb 0.2500 0.2500 0.2500  12 O 2.99
Rb 0.7500 0.7500 0.7500  12 O 2.99
Tl 0.0000 0.0000 0.0000  6 O 2.31
Re 0.5000 0.5000 0.5000  6 O 1.90
O 0.2739 0.2739 0.7261  1 Re 1.90
O 0.2739 0.7261 0.2739  1 Re 1.90
O 0.2739 0.7261 0.7261  1 Re 1.90
O 0.7261 0.2739 0.2739  1 Re 1.90
O 0.7261 0.2739 0.7261  1 Re 1.90
O 0.7261 0.7261 0.2739  1 Re 1.90

***

# 4
Here is a relaxed structure of Rb2Tl3ReO6 from Alexandria via LeMat-Bulk. Energies are from PBE.

Properties
The total magnetization comes out at 0.0 μB/cell. The formation energy from raw total energies comes out at -15.3 eV per formula unit.

Cell lengths 6.9142, 6.9142, 6.2073 Å; angles 98.47, 98.47, 122.50 degrees
Closest atoms and distances in Å follow each position.
Atoms (fractional coordinates):
Rb 0.1736 0.8264 0.0000  6 O 2.79-3.06
Rb 0.8264 0.1736 0.0000  6 O 2.79-3.06
Tl 0.0000 0.0000 0.5000  4 O 2.79
Tl 0.3521 0.6479 0.5000  4 O 2.52-2.67
Tl 0.6479 0.3521 0.5000  4 O 2.52-2.67
Re 0.5000 0.5000 0.0000  6 O 1.90-1.99
O 0.2109 0.4315 0.8236  1 Re 1.90
O 0.3336 0.3336 0.2171  1 Re 1.99
O 0.4315 0.2109 0.8236  1 Re 1.90
O 0.5685 0.7891 0.1764  1 Re 1.90
O 0.6664 0.6664 0.7829  1 Re 1.99
O 0.7891 0.5685 0.1764  1 Re 1.90

***

# 5
Here is a relaxed structure of Rb2TlRe2O7 from Alexandria via LeMat-Bulk. Energies are from PBE.

Properties
The total magnetization comes out at 0.0 μB/cell. The value obtained for the density of states at the Fermi level is 0.328 states/eV per atom. The formation energy from raw total energies comes out at -17.5 eV per formula unit.

Cell lengths 11.6704, 11.6704, 11.6704 Å; angles 160.45, 160.45, 27.78 degrees
Closest atoms and distances in Å follow each position.
Atoms (fractional coordinates):
Rb 0.1910 0.1910 0.0000  9 O 2.83-3.08
Rb 0.8090 0.8090 0.0000  9 O 2.83-3.08
Tl 0.0000 0.0000 0.0000  12 O 2.80-2.83
Re 0.4100 0.4100 0.0000  6 O 1.88-2.04
Re 0.5900 0.5900 0.0000  6 O 1.88-2.04
O 0.0894 0.5894 0.5000  2 Re 1.98
O 0.3270 0.3270 0.0000  1 Re 1.88
O 0.4106 0.9106 0.5000  2 Re 1.98
O 0.5000 0.5000 0.0000  2 Re 2.04
O 0.5894 0.0894 0.5000  2 Re 1.98
O 0.6730 0.6730 0.0000  1 Re 1.88
O 0.9106 0.4106 0.5000  2 Re 1.98

***

# 6
Here is a relaxed structure of RbTlRe2O8 from Alexandria via LeMat-Bulk. Energies are from PBE.

Properties
The total magnetization comes out at 0.0 μB/cell. The value obtained for the density of states at the Fermi level is 0.000 states/eV per atom. The formation energy from raw total energies comes out at -20.3 eV per formula unit.

Cell lengths 6.3429, 6.3429, 8.6546 Å; angles 90.00, 90.00, 120.00 degrees
Closest atoms and distances in Å follow each position.
Atoms (fractional coordinates):
Rb 0.0000 0.0000 0.0000  6 O 3.04
Tl 0.0000 0.0000 0.5000  6 O 2.86
Re 0.3333 0.6667 0.8020  4 O 1.75-1.76
Re 0.6667 0.3333 0.1980  4 O 1.75-1.76
O 0.1781 0.3640 0.7360  1 Re 1.76
O 0.1860 0.8219 0.7360  1 Re 1.76
O 0.3333 0.6667 0.0042  1 Re 1.75
O 0.3640 0.1860 0.2640  1 Re 1.76
O 0.6360 0.8140 0.7360  1 Re 1.76
O 0.6667 0.3333 0.9958  1 Re 1.75
O 0.8140 0.1781 0.2640  1 Re 1.76
O 0.8219 0.6360 0.2640  1 Re 1.76

***

# 7
Here is a relaxed structure of RbTlReO4 from Alexandria via LeMat-Bulk. Energies are from PBE.

Properties
The total magnetization comes out at 2.0 μB/cell. The value obtained for the density of states at the Fermi level is 0.171 states/eV per atom. The formation energy from raw total energies comes out at -10.3 eV per formula unit.

Cell lengths 5.6026, 6.0677, 9.3054 Å; angles 90.00, 99.11, 90.00 degrees
Closest atoms and distances in Å follow each position.
Atoms (fractional coordinates):
Rb 0.1206 0.2500 0.1446  4 O 2.89-3.11
Rb 0.8794 0.7500 0.8554  4 O 2.89-3.11
Tl 0.2471 0.7500 0.5052  4 O 2.64-2.72
Tl 0.7529 0.2500 0.4948  4 O 2.64-2.72
Re 0.4472 0.2500 0.8027  4 O 1.77-1.84
Re 0.5528 0.7500 0.1973  4 O 1.77-1.84
O 0.1333 0.2500 0.8114  1 Re 1.77
O 0.3614 0.7500 0.0267  1 Re 1.77
O 0.4673 0.5336 0.3174  1 Re 1.84
O 0.4673 0.9664 0.3174  1 Re 1.84
O 0.5327 0.0336 0.6826  1 Re 1.84
O 0.5327 0.4664 0.6826  1 Re 1.84
O 0.6386 0.2500 0.9733  1 Re 1.77
O 0.8667 0.7500 0.1886  1 Re 1.77

***

# 8
Here is a relaxed structure of Rb3Tl2ReO6 from Alexandria via LeMat-Bulk. Energies are from PBE.

Properties
The total magnetization comes out at 0.0 μB/cell. The formation energy from raw total energies comes out at -16.2 eV per formula unit.

Cell lengths 6.5357, 6.5357, 6.5384 Å; angles 100.10, 100.10, 118.85 degrees
Closest atoms and distances in Å follow each position.
Atoms (fractional coordinates):
Rb 0.0000 0.0000 0.0000  4 O 2.77
Rb 0.3304 0.6696 0.0000  4 O 2.77-2.79
Rb 0.6696 0.3304 0.0000  4 O 2.77-2.79
Tl 0.1678 0.8322 0.5000  6 O 2.73-2.81
Tl 0.8322 0.1678 0.5000  6 O 2.73-2.81
Re 0.5000 0.5000 0.5000  6 O 1.92-1.94
O 0.1974 0.4410 0.3183  1 Re 1.94
O 0.3260 0.3260 0.6820  1 Re 1.92
O 0.4410 0.1974 0.3183  1 Re 1.94
O 0.5590 0.8026 0.6817  1 Re 1.94
O 0.6740 0.6740 0.3180  1 Re 1.92
O 0.8026 0.5590 0.6817  1 Re 1.94

***

# 9
Here is a relaxed structure of Rb2TmRe3O12 from Alexandria via LeMat-Bulk. Energies are from PBE.

Properties
The total magnetization comes out at 0.9 μB/cell. The value obtained for the density of states at the Fermi level is 0.291 states/eV per atom. The formation energy from raw total energies comes out at -35.0 eV per formula unit.

Cell lengths 7.5648, 7.5648, 7.5648 Å; angles 58.45, 58.45, 58.45 degrees
Closest atoms and distances in Å follow each position.
Atoms (fractional coordinates):
Rb 0.1170 0.1170 0.1170  9 O 3.30-3.62
Rb 0.8830 0.8830 0.8830  9 O 3.30-3.62
Tm 0.5000 0.5000 0.5000  6 O 2.21
Re 0.0000 0.5000 0.5000  6 O 1.85-1.94
Re 0.5000 0.0000 0.5000  6 O 1.85-1.94
Re 0.5000 0.5000 0.0000  6 O 1.85-1.94
O 0.1520 0.5697 0.5697  1 Re 1.85
O 0.1949 0.1949 0.5694  2 Re 1.94
O 0.1949 0.5694 0.1949  2 Re 1.94
O 0.4303 0.4303 0.8480  1 Re 1.85
O 0.4303 0.8480 0.4303  1 Re 1.85
O 0.4306 0.8051 0.8051  2 Re 1.94
O 0.5694 0.1949 0.1949  2 Re 1.94
O 0.5697 0.1520 0.5697  1 Re 1.85
O 0.5697 0.5697 0.1520  1 Re 1.85
O 0.8051 0.4306 0.8051  2 Re 1.94
O 0.8051 0.8051 0.4306  2 Re 1.94
O 0.8480 0.4303 0.4303  1 Re 1.85

***

# 10
Here is a relaxed structure of RbTmRe2O8 from Alexandria via LeMat-Bulk. Energies are from PBE.

Properties
The total magnetization comes out at 2.0 μB/cell. The value obtained for the density of states at the Fermi level is 0.503 states/eV per atom. The formation energy from raw total energies comes out at -24.3 eV per formula unit.

Cell lengths 5.9980, 5.9980, 7.9236 Å; angles 90.00, 90.00, 120.00 degrees
Closest atoms and distances in Å follow each position.
Atoms (fractional coordinates):
Rb 0.0000 0.0000 0.0000  12 O 3.16-3.47
Tm 0.0000 0.0000 0.5000  6 O 2.21
Re 0.3333 0.6667 0.7459  4 O 1.76-1.81
Re 0.6667 0.3333 0.2541  4 O 1.76-1.81
O 0.1693 0.3387 0.6686  1 Re 1.81
O 0.1693 0.8307 0.6686  1 Re 1.81
O 0.3333 0.6667 0.9687  1 Re 1.76
O 0.3387 0.1693 0.3314  1 Re 1.81
O 0.6613 0.8307 0.6686  1 Re 1.81
O 0.6667 0.3333 0.0313  1 Re 1.76
O 0.8307 0.1693 0.3314  1 Re 1.81
O 0.8307 0.6613 0.3314  1 Re 1.81

***

- Which formula does entry 7 have?
  RbTlReO4